Run 1
# RbYTeI2

Crystalline RbYTeI2 at its relaxed geometry (PBE, Alexandria via LeMat-Bulk).

Properties
V, Å³ per cell: 246
DOS at the Fermi energy, states/eV/atom: 0.791

Structure (POSCAR):
```
RbYTeI2
1.0
6.2009 0.0000 0.0000
0.0000 6.2009 0.0000
0.0000 0.0000 6.3995
Y Te I Rb
1 1 2 1
Cartesian
3.1004 3.1004 3.1997 Y
0.0000 0.0000 3.1997 Te
0.0000 3.1004 0.0000 I
3.1004 0.0000 0.0000 I
0.0000 0.0000 0.0000 Rb
```

---

Run 2
# RbYTeI2

Crystalline RbYTeI2 at its relaxed geometry (PBE, Alexandria via LeMat-Bulk).

Properties
V, Å³ per cell: 223

Structure (POSCAR):
```
RbYTeI2
1.0
-0.1115 0.5094 6.1244
4.5017 -4.1632 0.4282
4.0191 4.3164 -0.2859
Te Y I Rb
1 1 2 1
Cartesian
2.0095 2.1582 -0.1429 Te
0.0000 0.0000 0.0000 Y
-0.0557 0.2547 3.0622 I
2.2508 -2.0816 0.2141 I
4.2046 0.3313 3.1334 Rb
```

---

run 2 is favored, and the nearest alternative lies 1.415 eV/atom above it.

---

Run 1
# RbZnTe2I

Crystalline RbZnTe2I at its relaxed geometry (PBE, Alexandria via LeMat-Bulk).

Properties
V, Å³ per cell: 189
DOS at the Fermi energy, states/eV/atom: 1.474

Structure (POSCAR):
```
RbZnTe2I
1.0
5.3144 0.0000 0.0000
0.0000 5.3144 0.0000
0.0000 0.0000 6.6813
Zn Te Rb I
1 2 1 1
Cartesian
0.0000 0.0000 0.0000 Zn
0.0000 2.6572 0.0000 Te
2.6572 0.0000 0.0000 Te
2.6572 2.6572 3.3406 Rb
0.0000 0.0000 3.3406 I
```

---

Run 2
# RbZnTe2I

Crystalline RbZnTe2I at its relaxed geometry (PBE, Alexandria via LeMat-Bulk).

Properties
V, Å³ per cell: 355
DOS at the Fermi energy, states/eV/atom: 1.097

Structure (POSCAR):
```
RbZnTe2I
1.0
7.1959 0.0000 0.0000
0.0000 7.1959 0.0000
0.0000 0.0000 6.8647
I Te Zn Rb
1 2 1 1
Cartesian
0.0000 0.0000 3.4324 I
3.5979 0.0000 0.0000 Te
0.0000 3.5979 0.0000 Te
3.5979 3.5979 3.4324 Zn
0.0000 0.0000 0.0000 Rb
```

---

run 1 is favored, and the nearest alternative lies 0.931 eV/atom above it.